Na3VP2O9: optimized geometry, PBE+U.

Summary:
raw total energy	-6.5680	eV per atom
space-group type	P2_1/m (11)
energy above the lowest structure with this stoichiometry	3	meV per atom

a b c (Å): 6.3144 6.4636 9.7718
angles (deg): 90.00 108.78 90.00
Last column: nearest neighbours and their distance in Å.
Fractional positions:
Na (0.2221, 0.2500, 0.3084)  3 O 2.25-2.27
Na (0.2704, 0.0123, 0.6630)  4 O 2.29-2.55
Na (0.2704, 0.4877, 0.6630)  4 O 2.29-2.55
Na (0.7296, 0.5123, 0.3370)  4 O 2.29-2.55
Na (0.7296, 0.9877, 0.3370)  4 O 2.29-2.55
Na (0.7779, 0.7500, 0.6916)  3 O 2.25-2.27
V (0.2920, 0.7500, 0.0788)  1 O 1.65
V (0.7080, 0.2500, 0.9212)  1 O 1.65
P (0.2472, 0.7500, 0.4052)  4 O 1.54-1.62
P (0.2538, 0.2500, 0.9984)  4 O 1.55
P (0.7462, 0.7500, 0.0016)  4 O 1.55
P (0.7528, 0.2500, 0.5948)  4 O 1.54-1.62
O (0.0010, 0.2500, 0.9120)  1 P 1.55
O (0.1052, 0.5514, 0.3791)  1 P 1.54
O (0.1052, 0.9486, 0.3791)  1 P 1.54
O (0.2262, 0.7500, 0.9006)  1 V 1.65
O (0.3138, 0.0588, 0.0993)  1 P 1.55
O (0.3138, 0.4412, 0.0993)  1 P 1.55
O (0.3764, 0.2500, 0.8835)  1 P 1.55
O (0.3948, 0.7500, 0.2964)  1 P 1.62
O (0.4130, 0.7500, 0.5612)  1 P 1.55
O (0.5870, 0.2500, 0.4388)  1 P 1.55
O (0.6052, 0.2500, 0.7036)  1 P 1.62
O (0.6236, 0.7500, 0.1165)  1 P 1.55
O (0.6862, 0.5588, 0.9007)  1 P 1.55
O (0.6862, 0.9412, 0.9007)  1 P 1.55
O (0.7738, 0.2500, 0.0994)  1 V 1.65
O (0.8948, 0.0514, 0.6209)  1 P 1.54
O (0.8948, 0.4486, 0.6209)  1 P 1.54
O (0.9990, 0.7500, 0.0880)  1 P 1.55